Record 1
VASP calculation (PBE) on a relaxed structure of LuCo4Ru.

abc: 4.8532 4.8532 4.8532
angles: 60.00 60.00 60.00
With the nearest neighbours (Å) after each atom.
Atoms (fractional coordinates):
1 Co 0.6252 0.1244 0.6252  6 Co 2.42-2.43
2 Co 0.6252 0.6252 0.6252  6 Co 2.42-2.43
3 Co 0.6252 0.6252 0.1244  6 Co 2.42-2.43
4 Co 0.1244 0.6252 0.6252  6 Co 2.42-2.43
5 Ru 0.2500 0.2500 0.2500  12 Co 2.85, 4 Lu 2.97
6 Lu 0.0000 0.0000 0.0000  12 Co 2.85, 4 Ru 2.97

Properties
Formation energy: -90.5 meV/atom
Electronic total energy: -0.5238 Ry per atom

Record 2
VASP calculation (PBE) on a relaxed structure of LiPmZrRu.

abc: 4.8496 4.8496 4.8496
angles: 60.00 60.00 60.00
With the nearest neighbours (Å) after each atom.
Atoms (fractional coordinates):
1 Li 0.2500 0.2500 0.2500  4 Pm 2.97, 4 Zr 2.97
2 Zr 0.0000 0.0000 0.0000  4 Ru 2.97, 4 Li 2.97
3 Pm 0.5000 0.5000 0.5000  4 Li 2.97, 4 Ru 2.97
4 Ru 0.7500 0.7500 0.7500  4 Zr 2.97, 4 Pm 2.97

Properties
Formation energy: -144.0 meV/atom
Electronic total energy: -0.4605 Ry per atom

Record 3
VASP calculation (PBE) on a relaxed structure of Sc8Sn2As.

abc: 4.6196 6.2280 9.4413
angles: 103.93 104.16 90.00
With the nearest neighbours (Å) after each atom.
Atoms (fractional coordinates):
1 Sc 0.5896 0.4737 0.1792  1 As 3.00, 2 Sn 3.13, 5 Sc 3.20-3.36
2 Sc 0.4104 0.5263 0.8208  1 As 3.00, 2 Sn 3.13, 5 Sc 3.20-3.36
3 Sc 0.9787 0.2301 0.9573  2 As 2.80, 1 Sn 2.92
4 Sc 0.0213 0.7699 0.0427  2 As 2.80, 1 Sn 2.92
5 Sc 0.7775 0.6743 0.5549  3 Sn 2.99-3.04, 4 Sc 3.10-3.16
6 Sc 0.3501 0.9873 0.7001  1 As 2.73, 2 Sn 2.93
7 Sc 0.6499 0.0127 0.2999  1 As 2.73, 2 Sn 2.93
8 Sc 0.2225 0.3257 0.4451  3 Sn 2.99-3.04, 4 Sc 3.10-3.16
9 As 0.5000 0.0000 0.0000  8 Sc 2.73-3.00
10 Sn 0.1801 0.7595 0.3601  9 Sc 2.92-3.13
11 Sn 0.8199 0.2405 0.6399  9 Sc 2.92-3.13

Properties
Formation energy: -488.3 meV/atom
Electronic total energy: -0.4589 Ry per atom

Record 4
VASP calculation (PBE) on a relaxed structure of ScBeOs.

abc: 5.1111 5.1111 7.9222
angles: 90.00 90.00 119.80
With the nearest neighbours (Å) after each atom.
Atoms (fractional coordinates):
1 Sc 0.6714 0.3286 0.8102  7 Os 2.84-2.99, 5 Be 2.89-3.03, 4 Sc 3.01-3.15
2 Sc 0.3334 0.6667 0.3170  5 Os 2.90-2.94, 4 Sc 2.90-3.15, 7 Be 2.92-3.00
3 Sc 0.3334 0.6667 0.6830  5 Os 2.90-2.94, 4 Sc 2.90-3.15, 7 Be 2.92-3.00
4 Sc 0.6714 0.3286 0.1898  7 Os 2.84-2.99, 5 Be 2.89-3.03, 4 Sc 3.01-3.15
5 Be 0.9982 0.0018 0.7434  2 Be 2.42, 4 Os 2.43-2.53
6 Be 0.9982 0.0018 0.2566  2 Be 2.42, 4 Os 2.43-2.53
7 Be 0.3294 0.1614 0.5000  4 Be 2.42-2.61, 2 Os 2.55-2.56
8 Be 0.8386 0.6706 0.5000  4 Be 2.42-2.61, 2 Os 2.55-2.56
9 Os 0.6602 0.8291 0.0000  4 Os 2.51-2.62, 2 Be 2.53
10 Os 0.1635 0.8365 0.0000  2 Be 2.50, 4 Os 2.55-2.56
11 Os 0.1709 0.3398 0.0000  4 Os 2.51-2.62, 2 Be 2.53
12 Os 0.8314 0.1686 0.5000  6 Be 2.43-2.56

Properties
Formation energy: -310.0 meV/atom
Electronic total energy: -0.5443 Ry per atom

no.,N(E_F) (states/eV per cell)
1,5.50
2,4.09
3,13.02
4,6.78